No. 1
RbBeIrW, optimized geometry, DFT PBE; energy relative to the lowest polymorph listed for this composition = 0 meV per atom
1.0
0.0000 3.2261 3.2261
3.2261 0.0000 3.2261
3.2261 3.2261 0.0000
Rb Be Ir W
1 1 1 1
Cartesian
0.0000 0.0000 0.0000
4.8392 4.8392 4.8392
3.2261 3.2261 3.2261
1.6131 1.6131 1.6131

=====

No. 2
Tc2BIr, optimized geometry, DFT PBE; final energy = -8.540 eV per atom
1.0
0.0000 2.9675 2.9675
2.9675 0.0000 2.9675
2.9675 2.9675 0.0000
Tc B Ir
2 1 1
Cartesian
0.0000 0.0000 0.0000
1.4837 1.4837 1.4837
2.9675 2.9675 2.9675
4.4512 4.4512 4.4512

=====

Record order is preserved below.
Theoretical density: 11.6, 12.7 g/cm³
Record order is preserved below.
Volume: 16.8, 13.1 Å³ per atom